1.
PBE NpSnSb2, relaxed; relative energy among the computed polymorphs = 0 meV/atom; ρ = 9552 kg/m³; total DFT energy (no corrections) = -6.45 eV per atom; N(E_F) = 10.53 states/eV/f.u.; V = 26.0 Å³/atom; formation energy from raw total energies = -0.148 eV/atom
1.0
4.4035 0.0000 0.0000
0.0000 4.4035 0.0000
0.0000 0.0000 10.7440
Np Sn Sb
2 2 4
direct
0.2500 0.2500 0.2356 Np
0.7500 0.7500 0.7644 Np
0.2500 0.7500 0.5000 Sn
0.7500 0.2500 0.5000 Sn
0.2500 0.2500 0.7442 Sb
0.2500 0.7500 0.0000 Sb
0.7500 0.2500 0.0000 Sb
0.7500 0.7500 0.2558 Sb



2.
PBE VSiH2, relaxed; relative energy among the computed polymorphs = 0 meV/atom; ρ = 3922 kg/m³; total DFT energy (no corrections) = -4.97 eV per atom; N(E_F) = 1.90 states/eV/f.u.; V = 8.6 Å³/atom
1.0
-2.1213 2.1213 3.8129
2.1213 -2.1213 3.8129
2.1213 2.1213 -3.8129
V Si H
2 2 4
direct
0.0000 0.0000 0.0000 V
0.7500 0.2500 0.5000 V
0.2500 0.7500 0.5000 Si
0.5000 0.5000 0.0000 Si
0.1027 0.6250 0.9777 H
0.3750 0.3527 0.4777 H
0.6473 0.1250 0.0223 H
0.8750 0.8973 0.5223 H